A relaxed CrCuPO2 crystal. Source: Alexandria via LeMat-Bulk, functional PBE+U.

a b c (Å): 3.734 3.734 4.733
angles (deg): 90.00 90.00 90.00
Site moments in Bohr magnetons follow the coordinates.
Positions (direct):
Cr 0.500 0.500 0.500  3.79
O 0.000 0.500 0.000  -0.31
O 0.500 0.000 0.000  -0.31
Cu 0.000 0.000 0.000  -0.09
P 0.000 0.000 0.500  -0.36

Calculated values
Space-group type: P4/mmm
Total DFT energy (no corrections), eV per atom: -5.214
Crystal system: tetragonal
ΔE to the lowest computed polymorph, meV/atom: 530
DOS at the Fermi energy, states/eV/cell: 2.806